Record 1
Compound: RbPd2Pt2
Source: Alexandria
Functional: PBE
Structure: optimized geometry

a = 4.617 Å, b = 4.617 Å, c = 6.081 Å
α = 67.69°, β = 67.69°, γ = 90.00°
Atoms (fractional coordinates):
Pt  0.377  0.377  0.245
Pt  0.623  0.623  0.755
Rb  0.000  0.000  0.000
Pd  0.750  0.250  0.500
Pd  0.250  0.750  0.500

Calculated values
M_tot = 0.0 μB per formula unit
Calculated density = 10.5 g/cm³
Space-group type = I4/mmm (139)
Energy above the lowest structure with this stoichiometry = 137 meV/atom
Formation energy = 0.24 eV/atom

Record 2
Compound: TbPm3Tm4
Source: Alexandria
Functional: PBE
Structure: optimized geometry

a = 6.260 Å, b = 7.267 Å, c = 11.345 Å
α = 90.00°, β = 90.00°, γ = 90.00°
Atoms (fractional coordinates):
Tm  0.481  0.879  0.251
Tm  0.648  0.121  0.000
Tm  0.981  0.121  0.751
Tm  0.148  0.879  0.500
Tm  0.148  0.878  0.000
Tm  0.981  0.121  0.249
Tm  0.481  0.879  0.749
Tm  0.648  0.122  0.500
Pm  0.482  0.373  0.250
Pm  0.647  0.628  0.000
Pm  0.982  0.627  0.750
Pm  0.147  0.372  0.500
Pm  0.982  0.627  0.250
Pm  0.482  0.373  0.750
Tb  0.646  0.630  0.500
Tb  0.146  0.370  0.000

Calculated values
M_tot = 0.0 μB per formula unit
Calculated density = 8.2 g/cm³
Space-group type = Pmn2_1 (31)
Formation energy = 0.02 eV/atom

Record 3
Compound: CdGe2C
Source: Alexandria
Functional: PBE
Structure: optimized geometry

a = 5.659 Å, b = 5.659 Å, c = 6.211 Å
α = 62.90°, β = 62.90°, γ = 90.00°
Atoms (fractional coordinates):
C  0.500  0.500  0.000
C  0.250  0.750  0.500
Cd  0.750  0.250  0.500
Cd  0.000  0.000  0.000
Ge  0.531  0.125  0.250
Ge  0.875  0.781  0.750
Ge  0.219  0.625  0.250
Ge  0.375  0.469  0.750

Calculated values
M_tot = 0.0 μB per formula unit
Calculated density = 5.9 g/cm³
Space-group type = I-42d (122)
Energy above the lowest structure with this stoichiometry = 0 meV/atom
Formation energy = 0.65 eV/atom

Record 4
Compound: Ac13Sn2
Source: Alexandria
Functional: PBE
Structure: optimized geometry

a = 7.651 Å, b = 9.213 Å, c = 10.163 Å
α = 115.49°, β = 87.42°, γ = 98.72°
Atoms (fractional coordinates):
Ac  0.447  0.835  0.820
Ac  0.000  0.000  0.000
Ac  0.209  0.004  0.585
Ac  0.238  0.798  0.162
Ac  0.791  0.996  0.415
Ac  0.545  0.395  0.612
Ac  0.049  0.501  0.701
Ac  0.455  0.605  0.388
Ac  0.951  0.499  0.299
Ac  0.553  0.165  0.180
Ac  0.292  0.350  0.957
Ac  0.708  0.650  0.043
Ac  0.762  0.202  0.838
Sn  0.172  0.226  0.364
Sn  0.828  0.774  0.636

Calculated values
M_tot = 0.0 μB per formula unit
Calculated density = 8.3 g/cm³
Space-group type = P-1 (2)
Formation energy = -0.12 eV/atom

Record 5
Compound: NaTcPt
Source: Alexandria
Functional: PBE
Structure: optimized geometry

a = 10.151 Å, b = 4.849 Å, c = 4.849 Å
α = 146.12°, β = 125.50°, γ = 54.50°
Atoms (fractional coordinates):
Pt  0.722  0.292  0.708
Pt  0.278  0.708  0.292
Tc  0.462  0.884  0.116
Tc  0.538  0.116  0.884
Na  0.901  0.440  0.560
Na  0.099  0.560  0.440

Calculated values
M_tot = 0.0 μB per formula unit
Calculated density = 9.9 g/cm³
Space-group type = C2/m (12)
Energy above the lowest structure with this stoichiometry = 29 meV/atom
Formation energy = 0.08 eV/atom

Record 6
Compound: Tb12Ho7Zr
Source: Alexandria
Functional: PBE
Structure: optimized geometry

a = 6.056 Å, b = 11.338 Å, c = 11.338 Å
α = 116.90°, β = 100.26°, γ = 100.26°
Atoms (fractional coordinates):
Ho  0.641  0.757  0.758
Ho  0.117  0.758  0.001
Ho  0.500  0.000  0.000
Ho  0.884  0.001  0.243
Ho  0.359  0.243  0.242
Ho  0.116  0.999  0.757
Ho  0.883  0.242  0.999
Tb  0.086  0.172  0.587
Tb  0.578  0.647  0.001
Tb  0.422  0.353  0.999
Tb  0.069  0.646  0.647
Tb  0.931  0.354  0.353
Tb  0.576  0.999  0.646
Tb  0.914  0.828  0.413
Tb  0.501  0.587  0.415
Tb  0.424  0.001  0.354
Tb  0.499  0.413  0.585
Tb  0.914  0.415  0.828
Tb  0.086  0.585  0.172
Zr  0.000  0.000  0.000

Calculated values
M_tot = 0.0 μB per formula unit
Calculated density = 8.0 g/cm³
Space-group type = R-3 (148)
Energy above the lowest structure with this stoichiometry = 0 meV/atom
Formation energy = 0.25 eV/atom

Number 1: calculated total energy -4.445 eV per atom. Number 2: calculated total energy -4.577 eV per atom. Number 3: calculated total energy -4.190 eV per atom. Number 4: calculated total energy -4.219 eV per atom. Number 5: calculated total energy -5.833 eV per atom. Number 6: calculated total energy -4.555 eV per atom.